No. 1
Compound: ZnAg
Source: Alexandria via LeMat-Bulk
Functional: SCAN
Structure: single point on PBEsol structure

The structure belongs to space group Pmmn (No. 59, origin choice 2); the cell edges are 2.827, 4.556 and 4.734 Å and the angles 90.00°, 90.00° and 90.00°. The distinct sites, in fractional coordinates, are Zn at (0.250, 0.250, 0.088) and Ag at (0.250, 0.750, 0.403).

No. 2
Compound: ZnAg
Source: Alexandria via LeMat-Bulk
Functional: SCAN
Structure: single point on PBEsol structure

The structure belongs to space group Fd-3m (No. 227, origin choice 2); the cell edges are 6.252, 6.252 and 6.252 Å and the angles 90.00°, 90.00° and 90.00°. The distinct sites, in fractional coordinates, are Zn at (0.125, 0.125, 0.125) and Ag at (0.125, 0.125, 0.625).

No. 3
Compound: Zn3Ag2
Source: Alexandria via LeMat-Bulk
Functional: SCAN
Structure: single point on PBEsol structure

The structure belongs to space group Immm (No. 71); the cell edges are 2.970, 3.600 and 14.063 Å and the angles 90.00°, 90.00° and 90.00°. The distinct sites, in fractional coordinates, are Zn at (0.000, 0.000, 0.000), Zn at (0.000, 0.000, 0.403) and Ag at (0.000, 0.000, 0.193).

| no. | ΔE_f (meV/atom) | raw total energy (eV per atom) |
| --- | --- | --- |
| 1 | -8 | -22.449 |
| 2 | 32 | -22.409 |
| 3 | 4 | -20.652 |